[1]
Entry from the Alexandria database: a geometry-optimized Ca3MnZn structure (PBE-GGA).

ΔE_f   216 kJ/mol of formula units
Total energy   -14.211 eV per cell
Fermi-level density of states   8.365 states/eV per cell
Excess energy over the best structure of this formula in the dataset   0.000 kcal/mol of atoms
M_tot   4.01 Bohr magnetons per cell

a b c (Å): 5.637 5.637 5.637
angles (deg): 90.00 90.00 90.00
Sites, in units of the cell vectors:
1 Ca 0.000 0.000 0.500
2 Ca 0.000 0.500 0.000
3 Ca 0.500 0.000 0.000
4 Mn 0.500 0.500 0.500
5 Zn 0.000 0.000 0.000

***

[2]
Entry from the Alexandria database: a geometry-optimized CaMn2Zn structure (PBE-GGA).

ΔE_f   172 kJ/mol of formula units
Total energy   -19.829 eV per cell
Fermi-level density of states   4.534 states/eV per cell
M_tot   6.66 Bohr magnetons per cell

a b c (Å): 5.006 5.006 5.006
angles (deg): 130.07 130.07 73.30
Sites, in units of the cell vectors:
1 Ca 0.000 0.000 0.000
2 Mn 0.250 0.750 0.500
3 Mn 0.750 0.250 0.500
4 Zn 0.500 0.500 0.000

***

[3]
Entry from the Alexandria database: a geometry-optimized CaMn2Zn structure (PBE-GGA).

ΔE_f   144 kJ/mol of formula units
Total energy   -20.127 eV per cell
Fermi-level density of states   4.190 states/eV per cell
M_tot   7.27 Bohr magnetons per cell

a b c (Å): 5.670 5.670 5.670
angles (deg): 147.32 128.70 62.16
Sites, in units of the cell vectors:
1 Ca 0.000 0.000 0.000
2 Mn 0.283 0.783 0.500
3 Mn 0.717 0.217 0.500
4 Zn 0.500 0.500 0.000

***

[4]
Entry from the Alexandria database: a geometry-optimized CaMn2Zn structure (PBE-GGA).

ΔE_f   69 kJ/mol of formula units
Total energy   -20.902 eV per cell
Fermi-level density of states   3.228 states/eV per cell
M_tot   0.52 Bohr magnetons per cell

a b c (Å): 3.226 3.240 7.054
angles (deg): 90.00 90.00 90.00
Sites, in units of the cell vectors:
1 Ca 0.000 0.000 0.000
2 Mn 0.000 0.000 0.513
3 Mn 0.500 0.500 0.670
4 Zn 0.500 0.500 0.300

***

[5]
Entry from the Alexandria database: a geometry-optimized Ca2MnZn structure (PBE-GGA).

ΔE_f   139 kJ/mol of formula units
Total energy   -13.005 eV per cell
Fermi-level density of states   3.514 states/eV per cell
M_tot   3.62 Bohr magnetons per cell

a b c (Å): 9.521 9.521 9.521
angles (deg): 22.38 22.38 22.38
Sites, in units of the cell vectors:
1 Ca 0.248 0.248 0.248
2 Ca 0.752 0.752 0.752
3 Mn 0.000 0.000 0.000
4 Zn 0.500 0.500 0.500

***

[6]
Entry from the Alexandria database: a geometry-optimized CaMn2Zn structure (PBE-GGA).

ΔE_f   162 kJ/mol of formula units
Total energy   -19.938 eV per cell
Fermi-level density of states   3.788 states/eV per cell
M_tot   6.59 Bohr magnetons per cell

a b c (Å): 4.131 4.173 4.223
angles (deg): 90.00 90.00 90.00
Sites, in units of the cell vectors:
1 Ca 0.000 0.000 0.000
2 Mn 0.000 0.500 0.500
3 Mn 0.500 0.000 0.500
4 Zn 0.500 0.500 0.000

***

[7]
Entry from the Alexandria database: a geometry-optimized Ca2MnZn structure (PBE-GGA).

ΔE_f   176 kJ/mol of formula units
Total energy   -25.245 eV per cell
Fermi-level density of states   9.597 states/eV per cell
M_tot   7.60 Bohr magnetons per cell

a b c (Å): 6.647 6.647 6.647
angles (deg): 103.92 103.92 121.26
Sites, in units of the cell vectors:
1 Ca 0.111 0.125 0.486
2 Ca 0.375 0.889 0.014
3 Ca 0.639 0.625 0.514
4 Ca 0.875 0.361 0.986
5 Mn 0.250 0.750 0.500
6 Mn 0.500 0.500 0.000
7 Zn 0.000 0.000 0.000
8 Zn 0.750 0.250 0.500

***

[8]
Entry from the Alexandria database: a geometry-optimized CaMn2Zn structure (PBE-GGA).

ΔE_f   141 kJ/mol of formula units
Total energy   -20.149 eV per cell
Fermi-level density of states   3.904 states/eV per cell
M_tot   7.51 Bohr magnetons per cell

a b c (Å): 3.275 3.275 7.250
angles (deg): 90.00 90.00 90.00
Sites, in units of the cell vectors:
1 Ca 0.000 0.000 0.000
2 Mn 0.500 0.500 0.315
3 Mn 0.500 0.500 0.685
4 Zn 0.000 0.000 0.500

***

[9]
Entry from the Alexandria database: a geometry-optimized Ca2MnZn structure (PBE-GGA).

ΔE_f   45 kJ/mol of formula units
Total energy   -13.982 eV per cell
Fermi-level density of states   4.754 states/eV per cell
M_tot   3.38 Bohr magnetons per cell

a b c (Å): 4.534 6.067 6.067
angles (deg): 39.42 90.00 90.00
Sites, in units of the cell vectors:
1 Ca 0.000 0.000 0.000
2 Ca 0.500 0.298 0.298
3 Mn 0.500 0.594 0.594
4 Zn 0.000 0.708 0.708

***

[10]
Entry from the Alexandria database: a geometry-optimized CaZrMn3 structure (PBE-GGA).

ΔE_f   438 kJ/mol of formula units
Total energy   -33.521 eV per cell
Fermi-level density of states   3.262 states/eV per cell
Excess energy over the best structure of this formula in the dataset   0.000 kcal/mol of atoms
M_tot   9.58 Bohr magnetons per cell

a b c (Å): 4.943 4.943 4.943
angles (deg): 90.00 90.00 90.00
Sites, in units of the cell vectors:
1 Ca 0.000 0.000 0.000
2 Zr 0.500 0.500 0.500
3 Mn 0.000 0.500 0.500
4 Mn 0.500 0.000 0.500
5 Mn 0.500 0.500 0.000

***

[11]
Entry from the Alexandria database: a geometry-optimized CaZrMn2 structure (PBE-GGA).

ΔE_f   196 kJ/mol of formula units
Total energy   -26.856 eV per cell
Fermi-level density of states   4.219 states/eV per cell
M_tot   0.00 Bohr magnetons per cell

a b c (Å): 5.026 5.026 6.133
angles (deg): 109.81 109.81 39.20
Sites, in units of the cell vectors:
1 Ca 0.000 0.000 0.000
2 Zr 0.500 0.500 0.500
3 Mn 0.256 0.256 0.604
4 Mn 0.744 0.744 0.396

***

[12]
Entry from the Alexandria database: a geometry-optimized CaZrMn2 structure (PBE-GGA).

ΔE_f   222 kJ/mol of formula units
Total energy   -26.591 eV per cell
Fermi-level density of states   6.558 states/eV per cell
M_tot   6.86 Bohr magnetons per cell

a b c (Å): 4.853 4.853 4.853
angles (deg): 60.00 60.00 60.00
Sites, in units of the cell vectors:
1 Ca 0.000 0.000 0.000
2 Zr 0.250 0.250 0.250
3 Mn 0.500 0.500 0.500
4 Mn 0.750 0.750 0.750

***

[13]
Entry from the Alexandria database: a geometry-optimized CaZr2Mn structure (PBE-GGA).

ΔE_f   130 kJ/mol of formula units
Total energy   -26.916 eV per cell
Fermi-level density of states   4.423 states/eV per cell
Excess energy over the best structure of this formula in the dataset   4.347 kcal/mol of atoms
M_tot   0.00 Bohr magnetons per cell

a b c (Å): 6.161 6.161 6.161
angles (deg): 148.41 133.77 57.08
Sites, in units of the cell vectors:
1 Ca 0.000 0.000 0.000
2 Zr 0.396 0.396 0.000
3 Zr 0.709 0.209 0.500
4 Mn 0.227 0.727 0.500

***

[14]
Entry from the Alexandria database: a geometry-optimized CaZrMn2 structure (PBE-GGA).

ΔE_f   142 kJ/mol of formula units
Total energy   -27.414 eV per cell
Fermi-level density of states   4.584 states/eV per cell
M_tot   1.10 Bohr magnetons per cell

a b c (Å): 6.065 6.065 6.065
angles (deg): 149.47 134.90 55.44
Sites, in units of the cell vectors:
1 Ca 0.000 0.000 0.000
2 Zr 0.716 0.216 0.500
3 Mn 0.267 0.767 0.500
4 Mn 0.416 0.416 0.000

***

[15]
Entry from the Alexandria database: a geometry-optimized CaZr2Mn structure (PBE-GGA).

ΔE_f   193 kJ/mol of formula units
Total energy   -26.262 eV per cell
Fermi-level density of states   3.754 states/eV per cell
Excess energy over the best structure of this formula in the dataset   8.119 kcal/mol of atoms
M_tot   0.00 Bohr magnetons per cell

a b c (Å): 4.863 4.863 4.863
angles (deg): 60.00 60.00 60.00
Sites, in units of the cell vectors:
1 Ca 0.000 0.000 0.000
2 Zr 0.250 0.250 0.250
3 Zr 0.750 0.750 0.750
4 Mn 0.500 0.500 0.500

***

[16]
Entry from the Alexandria database: a geometry-optimized CaZrMn2 structure (PBE-GGA).

ΔE_f   142 kJ/mol of formula units
Total energy   -27.415 eV per cell
Fermi-level density of states   4.539 states/eV per cell
M_tot   5.86 Bohr magnetons per cell

a b c (Å): 3.158 4.807 5.375
angles (deg): 90.00 90.00 90.00
Sites, in units of the cell vectors:
1 Ca 0.000 0.000 0.000
2 Zr 0.000 0.500 0.412
3 Mn 0.500 0.000 0.516
4 Mn 0.500 0.500 0.839

***

[17]
Entry from the Alexandria database: a geometry-optimized CaZr2Mn structure (PBE-GGA).

ΔE_f   173 kJ/mol of formula units
Total energy   -26.477 eV per cell
Fermi-level density of states   5.360 states/eV per cell
Excess energy over the best structure of this formula in the dataset   6.881 kcal/mol of atoms
M_tot   2.66 Bohr magnetons per cell

a b c (Å): 4.380 4.380 4.797
angles (deg): 90.00 90.00 90.00
Sites, in units of the cell vectors:
1 Ca 0.000 0.000 0.000
2 Zr 0.000 0.500 0.500
3 Zr 0.500 0.000 0.500
4 Mn 0.500 0.500 0.000

***

[18]
Entry from the Alexandria database: a geometry-optimized CaZr2Mn structure (PBE-GGA).

ΔE_f   120 kJ/mol of formula units
Total energy   -27.021 eV per cell
Fermi-level density of states   3.140 states/eV per cell
Excess energy over the best structure of this formula in the dataset   3.741 kcal/mol of atoms
M_tot   0.87 Bohr magnetons per cell

a b c (Å): 9.802 9.802 9.802
angles (deg): 19.76 19.76 19.76
Sites, in units of the cell vectors:
1 Ca 0.000 0.000 0.000
2 Zr 0.228 0.228 0.228
3 Zr 0.772 0.772 0.772
4 Mn 0.500 0.500 0.500

***

[19]
Entry from the Alexandria database: a geometry-optimized CaZr2Mn structure (PBE-GGA).

ΔE_f   181 kJ/mol of formula units
Total energy   -26.391 eV per cell
Fermi-level density of states   4.689 states/eV per cell
Excess energy over the best structure of this formula in the dataset   7.376 kcal/mol of atoms
M_tot   2.92 Bohr magnetons per cell

a b c (Å): 5.546 5.546 5.546
angles (deg): 132.02 132.02 70.20
Sites, in units of the cell vectors:
1 Ca 0.000 0.000 0.000
2 Zr 0.500 0.500 0.000
3 Zr 0.750 0.250 0.500
4 Mn 0.250 0.750 0.500

***

[20]
Entry from the Alexandria database: a geometry-optimized CaZrMn2 structure (PBE-GGA).

ΔE_f   210 kJ/mol of formula units
Total energy   -26.713 eV per cell
Fermi-level density of states   4.888 states/eV per cell
M_tot   6.64 Bohr magnetons per cell

a b c (Å): 9.735 9.735 9.735
angles (deg): 19.05 19.05 19.05
Sites, in units of the cell vectors:
1 Ca 0.000 0.000 0.000
2 Zr 0.500 0.500 0.500
3 Mn 0.243 0.243 0.243
4 Mn 0.757 0.757 0.757

***

[21]
Entry from the Alexandria database: a geometry-optimized CaZr2Mn structure (PBE-GGA).

ΔE_f   381 kJ/mol of formula units
Total energy   -48.628 eV per cell
Fermi-level density of states   13.098 states/eV per cell
Excess energy over the best structure of this formula in the dataset   19.349 kcal/mol of atoms
M_tot   0.00 Bohr magnetons per cell

a b c (Å): 7.248 7.248 7.248
angles (deg): 120.14 120.14 89.75
Sites, in units of the cell vectors:
1 Ca 0.375 0.625 0.750
2 Ca 0.625 0.375 0.250
3 Zr 0.000 0.000 0.000
4 Zr 0.000 0.000 0.500
5 Zr 0.000 0.500 0.000
6 Zr 0.500 0.000 0.500
7 Mn 0.125 0.875 0.250
8 Mn 0.875 0.125 0.750

***

[22]
Entry from the Alexandria database: a geometry-optimized CaZrMn2 structure (PBE-GGA).

ΔE_f   93 kJ/mol of formula units
Total energy   -27.929 eV per cell
Fermi-level density of states   4.737 states/eV per cell
M_tot   5.51 Bohr magnetons per cell

a b c (Å): 3.423 3.423 7.158
angles (deg): 90.00 90.00 90.00
Sites, in units of the cell vectors:
1 Ca 0.000 0.000 0.000
2 Zr 0.000 0.000 0.500
3 Mn 0.500 0.500 0.306
4 Mn 0.500 0.500 0.694

***

[23]
Entry from the Alexandria database: a geometry-optimized CaZrMn2 structure (PBE-GGA).

ΔE_f   152 kJ/mol of formula units
Total energy   -27.310 eV per cell
Fermi-level density of states   4.508 states/eV per cell
M_tot   5.68 Bohr magnetons per cell

a b c (Å): 5.481 5.481 5.239
angles (deg): 103.80 103.80 32.22
Sites, in units of the cell vectors:
1 Ca 0.000 0.000 0.000
2 Zr 0.794 0.794 0.381
3 Mn 0.239 0.239 0.813
4 Mn 0.548 0.548 0.521

***

[24]
Entry from the Alexandria database: a geometry-optimized CaZr2Mn structure (PBE-GGA).

ΔE_f   178 kJ/mol of formula units
Total energy   -26.419 eV per cell
Fermi-level density of states   3.678 states/eV per cell
Excess energy over the best structure of this formula in the dataset   7.217 kcal/mol of atoms
M_tot   0.58 Bohr magnetons per cell

a b c (Å): 5.083 5.083 5.083
angles (deg): 60.00 60.00 60.00
Sites, in units of the cell vectors:
1 Ca 0.000 0.000 0.000
2 Zr 0.500 0.500 0.500
3 Zr 0.750 0.750 0.750
4 Mn 0.250 0.250 0.250

***

[25]
Entry from the Alexandria database: a geometry-optimized CaZrMn2 structure (PBE-GGA).

ΔE_f   111 kJ/mol of formula units
Total energy   -27.737 eV per cell
Fermi-level density of states   4.765 states/eV per cell
M_tot   0.42 Bohr magnetons per cell

a b c (Å): 3.107 3.107 8.440
angles (deg): 90.00 90.00 90.00
Sites, in units of the cell vectors:
1 Ca 0.000 0.000 0.000
2 Zr 0.500 0.500 0.638
3 Mn 0.000 0.000 0.410
4 Mn 0.500 0.500 0.280

***

[26]
Entry from the Alexandria database: a geometry-optimized CaZr2Mn structure (PBE-GGA).

ΔE_f   99 kJ/mol of formula units
Total energy   -27.237 eV per cell
Fermi-level density of states   4.789 states/eV per cell
Excess energy over the best structure of this formula in the dataset   2.498 kcal/mol of atoms
M_tot   0.66 Bohr magnetons per cell

a b c (Å): 5.945 5.945 5.945
angles (deg): 147.94 125.46 64.69
Sites, in units of the cell vectors:
1 Ca 0.000 0.000 0.000
2 Zr 0.303 0.803 0.500
3 Zr 0.697 0.197 0.500
4 Mn 0.500 0.500 0.000

***

[27]
Entry from the Alexandria database: a geometry-optimized CaZrMn2 structure (PBE-GGA).

ΔE_f   190 kJ/mol of formula units
Total energy   -26.920 eV per cell
Fermi-level density of states   3.669 states/eV per cell
M_tot   5.97 Bohr magnetons per cell

a b c (Å): 5.455 5.455 5.455
angles (deg): 134.27 134.27 66.67
Sites, in units of the cell vectors:
1 Ca 0.000 0.000 0.000
2 Zr 0.750 0.250 0.500
3 Mn 0.250 0.750 0.500
4 Mn 0.500 0.500 0.000

***

[28]
Entry from the Alexandria database: a geometry-optimized CaZr2Mn structure (PBE-GGA).

ΔE_f   58 kJ/mol of formula units
Total energy   -27.670 eV per cell
Fermi-level density of states   4.457 states/eV per cell
Excess energy over the best structure of this formula in the dataset   0.000 kcal/mol of atoms
M_tot   0.00 Bohr magnetons per cell

a b c (Å): 3.179 3.179 9.192
angles (deg): 90.00 90.08 90.00
Sites, in units of the cell vectors:
1 Ca 0.000 0.000 0.000
2 Zr 0.498 0.500 0.668
3 Zr 0.502 0.500 0.332
4 Mn 0.000 0.000 0.500

***

[29]
Entry from the Alexandria database: a geometry-optimized CaZrMn2 structure (PBE-GGA).

ΔE_f   331 kJ/mol of formula units
Total energy   -50.916 eV per cell
Fermi-level density of states   6.427 states/eV per cell
M_tot   9.60 Bohr magnetons per cell

a b c (Å): 9.462 9.462 9.462
angles (deg): 150.54 150.54 42.15
Sites, in units of the cell vectors:
1 Ca 0.000 0.000 0.000
2 Ca 0.750 0.250 0.500
3 Zr 0.250 0.750 0.500
4 Zr 0.500 0.500 0.000
5 Mn 0.309 0.625 0.184
6 Mn 0.375 0.559 0.684
7 Mn 0.441 0.125 0.816
8 Mn 0.875 0.691 0.316

***

[30]
Entry from the Alexandria database: a geometry-optimized Ca4ZrMn structure (PBE-GGA).

ΔE_f   503 kJ/mol of formula units
Total energy   -20.508 eV per cell
Fermi-level density of states   11.017 states/eV per cell
M_tot   8.08 Bohr magnetons per cell

a b c (Å): 6.581 6.581 6.581
angles (deg): 60.00 60.00 60.00
Sites, in units of the cell vectors:
1 Ca 0.125 0.125 0.125
2 Ca 0.125 0.125 0.624
3 Ca 0.125 0.624 0.125
4 Ca 0.624 0.125 0.125
5 Zr 0.500 0.500 0.500
6 Mn 0.750 0.750 0.750